The following is a PBE calculation of crystalline SrPb3O at its relaxed geometry, from Alexandria.

```
SrPb3O
1.0
5.162 0.000 0.000
0.000 5.162 0.000
0.000 0.000 5.162
Sr Pb O
1 3 1
direct
0.000 0.000 0.000
0.000 0.500 0.500
0.500 0.000 0.500
0.500 0.500 0.000
0.500 0.500 0.500
```

Calculated values
Excess energy over the best structure of this formula in the dataset: 0 meV per atom
Total magnetization: 0.0 μB/cell
DOS at the Fermi energy: 2.73 states/eV/cell
E_form (uncorrected): -0.4642 eV/atom